First-principles (PBE) data for an optimized crystal structure of Pr5Sn2Ir, as listed in Alexandria via LeMat-Bulk.

Calculated values
- formation enthalpy at 0 K (meV/atom) = -667
- energy (eV per atom) = -5.7628
- total magnetization (μB per cell) = 0.0
- volume (A^3/atom) = 31.0

Lattice parameters (Å, degrees): 4.7325 8.2476 12.7163 90.00 90.00 90.00
Closest atoms and distances in Å follow each position.
Positions (direct):
1 Pr 0.5000 0.6868 0.4340  2 Ir 2.95
2 Sn 0.5000 0.5769 0.1710  9 Pr 3.28-3.59
3 Pr 0.5000 0.1868 0.0660  2 Ir 2.95
4 Sn 0.5000 0.0769 0.3290  9 Pr 3.28-3.59
5 Pr 0.5000 0.3132 0.5660  2 Ir 2.95
6 Sn 0.5000 0.4231 0.8290  9 Pr 3.28-3.59
7 Pr 0.0000 0.3621 0.2961  1 Ir 2.83
8 Pr 0.0000 0.1379 0.7961  1 Ir 2.83
9 Pr 0.0000 0.8621 0.2039  1 Ir 2.83
10 Pr 0.0000 0.6379 0.7039  1 Ir 2.83
11 Pr 0.0000 0.0000 0.5000  4 Sn 3.28, 4 Pr 3.60
12 Ir 0.0000 0.0000 0.0000  6 Pr 2.83-2.95
13 Pr 0.5000 0.8132 0.9340  2 Ir 2.95
14 Ir 0.0000 0.5000 0.5000  6 Pr 2.83-2.95
15 Pr 0.0000 0.5000 0.0000  4 Sn 3.28, 4 Pr 3.60
16 Sn 0.5000 0.9231 0.6710  9 Pr 3.28-3.59